Below is a relaxed structure of MnMoSe2, with properties calculated at the PBEsol level.

Lattice parameters (Å, degrees): 8.598 3.200 4.748 90.00 102.26 90.00
Atoms (fractional coordinates):
1 Mn 0.000 0.000 0.000
2 Mn 0.500 0.500 0.000
3 Mo 0.219 0.000 0.638
4 Mo 0.719 0.500 0.638
5 Se 0.230 0.500 0.054
6 Se 0.490 0.000 0.476
7 Se 0.730 0.000 0.054
8 Se 0.990 0.500 0.476

Summary:
**Formation energy from raw total energies**: -0.066 eV per atom
**Total magnetic moment**: 2.89 μB/f.u.